[1]
Entry from Alexandria via LeMat-Bulk: an optimized crystal structure of Dy3Sn2H (PBE).

The space group is C2/c (No. 15) and the conventional cell measures 11.318, 6.211 and 8.633 Å, with angles of 90.00, 105.40 and 90.00 degrees. The asymmetric unit holds Dy at (0.000, 0.158, 0.250), Dy at (0.144, 0.374, 0.655), Sn at (0.144, 0.130, 0.006) and H at (0.000, 0.498, 0.250).

[2]
Entry from Alexandria via LeMat-Bulk: an optimized crystal structure of Dy3SnH (PBE).

The space group is P2_1/m (No. 11) and the conventional cell measures 6.539, 3.562 and 10.395 Å, with angles of 90.00, 99.00 and 90.00 degrees. The asymmetric unit holds Dy at (0.084, 0.250, 0.359), Dy at (0.225, 0.250, 0.905), Dy at (0.402, 0.750, 0.638), Sn at (0.292, 0.750, 0.159) and H at (0.173, 0.250, 0.681).

Its relative energy among the computed polymorphs is 24 kJ/mol of formula units.

[3]
Entry from Alexandria via LeMat-Bulk: an optimized crystal structure of Dy2SnH2 (PBE).

The space group is I4/mmm (No. 139) and the conventional cell measures 3.972, 3.972 and 10.772 Å, with angles of 90.00, 90.00 and 90.00 degrees. The asymmetric unit holds Dy at (0.000, 0.000, 0.154), Sn at (0.000, 0.000, 0.500) and H at (0.000, 0.500, 0.250).

no.,uncorrected energy (eV/atom),spin magnetization (μB per formula unit)
1,-4.793,0.0
2,-4.660,0.0
3,-4.708,0.0